Record 1
Material: Sr4LiB3N6
Method: DFT, GGA-PBE
State: relaxed

## Properties
space-group type = Im-3m (229)
density = 3.744 g/cm3
raw formation energy = -15.46 eV/f.u.

The structure in extended XYZ format:
```
14
Lattice="-3.7456 3.7456 3.7456 3.7456 -3.7456 3.7456 3.7456 3.7456 -3.7456" Properties=species:S:1:pos:R:3 pbc="T T T"
Sr 1.8728 1.8728 -1.8728
Sr 1.8728 -1.8728 1.8728
Sr -1.8728 1.8728 1.8728
Sr 1.8728 1.8728 1.8728
Li 0.0000 0.0000 0.0000
B 3.7456 0.0000 0.0000
B 0.0000 3.7456 0.0000
B 0.0000 0.0000 3.7456
N 2.3953 0.0000 0.0000
N 5.0958 0.0000 0.0000
N 0.0000 2.3953 0.0000
N 0.0000 0.0000 2.3953
N 0.0000 5.0958 0.0000
N 0.0000 0.0000 5.0958
```


Record 2
Material: LiBTeN2
Method: DFT, GGA-PBE
State: relaxed

## Properties
relative energy among the computed polymorphs = 1049 meV/atom
space-group type = P4/mmm (123)
density = 4.491 g/cm3
raw formation energy = 10.58 eV/f.u.

The structure in extended XYZ format:
```
5
Lattice="3.5322 0.0000 0.0000 0.0000 3.5322 0.0000 0.0000 0.0000 5.1383" Properties=species:S:1:pos:R:3 pbc="T T T"
Li 0.0000 0.0000 0.0000
B 1.7661 1.7661 2.5692
Te 0.0000 0.0000 2.5692
N 0.0000 1.7661 0.0000
N 1.7661 0.0000 0.0000
```


Record 3
Material: LiBTe2N
Method: DFT, GGA-PBE
State: relaxed

## Properties
relative energy among the computed polymorphs = 1570 meV/atom
space-group type = P4/mmm (123)
density = 5.439 g/cm3
raw formation energy = 7.54 eV/f.u.

The structure in extended XYZ format:
```
5
Lattice="5.0966 0.0000 0.0000 0.0000 5.0966 0.0000 0.0000 0.0000 3.3725" Properties=species:S:1:pos:R:3 pbc="T T T"
Li 0.0000 0.0000 0.0000
B 2.5483 2.5483 1.6863
Te 0.0000 2.5483 0.0000
Te 2.5483 0.0000 0.0000
N 0.0000 0.0000 1.6863
```


Record 4
Material: LiBTe2N
Method: DFT, GGA-PBE
State: relaxed

## Properties
relative energy among the computed polymorphs = 0 meV/atom
space-group type = P4/mmm (123)
density = 4.434 g/cm3
raw formation energy = -0.31 eV/f.u.

The structure in extended XYZ format:
```
5
Lattice="6.2511 0.0000 0.0000 0.0000 6.2511 0.0000 0.0000 0.0000 2.7503" Properties=species:S:1:pos:R:3 pbc="T T T"
Li 0.0000 0.0000 0.0000
B 3.1256 3.1256 1.3752
Te 0.0000 3.1256 1.3752
Te 3.1256 0.0000 1.3752
N 3.1256 3.1256 0.0000
```


Record 5
Material: LiBTeN2
Method: DFT, GGA-PBE
State: relaxed

## Properties
relative energy among the computed polymorphs = 0 meV/atom
space-group type = P4/mmm (123)
density = 3.374 g/cm3
raw formation energy = 5.34 eV/f.u.

The structure in extended XYZ format:
```
5
Lattice="3.2585 0.0000 0.0000 0.0000 3.2585 0.0000 0.0000 0.0000 8.0365" Properties=species:S:1:pos:R:3 pbc="T T T"
Li 0.0000 0.0000 0.0000
B 1.6293 1.6293 4.0182
Te 1.6293 1.6293 0.0000
N 0.0000 1.6293 4.0182
N 1.6293 0.0000 4.0182
```


Record 6
Material: LiTlB2N
Method: DFT, GGA-PBE
State: relaxed

## Properties
relative energy among the computed polymorphs = 1063 meV/atom
space-group type = P4/mmm (123)
density = 4.395 g/cm3
raw formation energy = 11.26 eV/f.u.

The structure in extended XYZ format:
```
5
Lattice="4.5342 0.0000 0.0000 0.0000 4.5342 0.0000 0.0000 0.0000 4.5382" Properties=species:S:1:pos:R:3 pbc="T T T"
Li 0.0000 0.0000 0.0000
Tl 2.2671 2.2671 2.2691
B 0.0000 2.2671 2.2691
B 2.2671 0.0000 2.2691
N 2.2671 2.2671 0.0000
```